Below is a crystal of LaTlAu2 relaxed with PBEsol, with properties calculated at the meta-GGA SCAN level.

- D(E_F): 0.3951 states/eV per atom
- Energy of formation from the pure elements: -0.605 eV/atom
- Excess energy over the best structure of this formula in the dataset: 0.54 eV per formula unit

Unit cell a=4.852 b=4.852 c=5.405 alpha=63.33 beta=63.33 gamma=60.00
Atoms (fractional coordinates):
1 Au 0.032 0.032 0.905
2 Au 0.713 0.713 0.860
3 La 0.489 0.489 0.532
4 Tl 0.265 0.265 0.204